[1]
NiAg3 after structural relaxation. Source: the Alexandria database, functional PBE.

abc: 4.9341 9.3306 5.6351
angles: 90.00 90.00 90.00
Closest atoms and distances in Å follow each position.
Fractional coordinates of all 16 atoms:
1 Ni 0.0773 0.2500 0.1356  10 Ag 2.73-2.93, 2 Ni 2.78
2 Ni 0.4227 0.7500 0.6356  10 Ag 2.73-2.93, 2 Ni 2.78
3 Ni 0.5773 0.2500 0.3644  10 Ag 2.73-2.93, 2 Ni 2.78
4 Ni 0.9227 0.7500 0.8644  10 Ag 2.73-2.93, 2 Ni 2.78
5 Ag 0.0655 0.2500 0.6196  4 Ni 2.73-2.91, 8 Ag 2.83-2.92
6 Ag 0.2409 0.5070 0.8722  3 Ni 2.76-2.93, 9 Ag 2.78-2.94
7 Ag 0.2409 0.9930 0.8722  3 Ni 2.76-2.93, 9 Ag 2.78-2.94
8 Ag 0.2591 0.0070 0.3722  3 Ni 2.76-2.93, 9 Ag 2.78-2.94
9 Ag 0.2591 0.4930 0.3722  3 Ni 2.76-2.93, 9 Ag 2.78-2.94
10 Ag 0.4345 0.7500 0.1196  4 Ni 2.73-2.91, 8 Ag 2.83-2.92
11 Ag 0.5655 0.2500 0.8804  4 Ni 2.73-2.91, 8 Ag 2.83-2.92
12 Ag 0.7409 0.5070 0.6278  3 Ni 2.76-2.93, 9 Ag 2.78-2.94
13 Ag 0.7409 0.9930 0.6278  3 Ni 2.76-2.93, 9 Ag 2.78-2.94
14 Ag 0.7591 0.0070 0.1278  3 Ni 2.76-2.93, 9 Ag 2.78-2.94
15 Ag 0.7591 0.4930 0.1278  3 Ni 2.76-2.93, 9 Ag 2.78-2.94
16 Ag 0.9345 0.7500 0.3804  4 Ni 2.73-2.91, 8 Ag 2.83-2.92

=====

[2]
Tb2NdHo6Er after structural relaxation. Source: the Alexandria database, functional PBE.

abc: 8.7511 8.7511 9.5265
angles: 93.80 93.80 117.85
Closest atoms and distances in Å follow each position.
Fractional coordinates of all 20 atoms:
1 Tb 0.1968 0.3017 0.4544  6 Ho 3.25-3.58, 2 Nd 3.37-3.41, 1 Er 3.51
2 Tb 0.3017 0.1968 0.9544  6 Ho 3.25-3.58, 2 Nd 3.37-3.41, 1 Er 3.51
3 Tb 0.6983 0.8032 0.0456  6 Ho 3.25-3.58, 2 Nd 3.37-3.41, 1 Er 3.51
4 Tb 0.8032 0.6983 0.5456  6 Ho 3.25-3.58, 2 Nd 3.37-3.41, 1 Er 3.51
5 Nd 0.4763 0.5237 0.7500  4 Tb 3.37-3.41, 4 Ho 3.57-3.68
6 Nd 0.5237 0.4763 0.2500  4 Tb 3.37-3.41, 4 Ho 3.57-3.68
7 Ho 0.0079 0.7919 0.8813  4 Ho 3.20-3.48, 3 Tb 3.25-3.41, 2 Er 3.40-3.52
8 Ho 0.0675 0.5181 0.6838  3 Ho 3.20-3.57, 2 Tb 3.38-3.58, 1 Er 3.45, 1 Nd 3.57
9 Ho 0.2081 0.9921 0.6187  4 Ho 3.20-3.48, 3 Tb 3.25-3.41, 2 Er 3.40-3.52
10 Ho 0.2480 0.6244 0.0572  7 Ho 3.39-3.71, 1 Tb 3.51, 1 Nd 3.68
11 Ho 0.3756 0.7520 0.4428  7 Ho 3.39-3.71, 1 Tb 3.51, 1 Nd 3.68
12 Ho 0.4819 0.9325 0.8162  3 Ho 3.20-3.57, 2 Tb 3.38-3.58, 1 Er 3.45, 1 Nd 3.57
13 Ho 0.5181 0.0675 0.1838  3 Ho 3.20-3.57, 2 Tb 3.38-3.58, 1 Er 3.45, 1 Nd 3.57
14 Ho 0.6244 0.2480 0.5572  7 Ho 3.39-3.71, 1 Tb 3.51, 1 Nd 3.68
15 Ho 0.7520 0.3756 0.9428  7 Ho 3.39-3.71, 1 Tb 3.51, 1 Nd 3.68
16 Ho 0.7919 0.0079 0.3813  4 Ho 3.20-3.48, 3 Tb 3.25-3.41, 2 Er 3.40-3.52
17 Ho 0.9325 0.4819 0.3162  3 Ho 3.20-3.57, 2 Tb 3.38-3.58, 1 Er 3.45, 1 Nd 3.57
18 Ho 0.9921 0.2081 0.1187  4 Ho 3.20-3.48, 3 Tb 3.25-3.41, 2 Er 3.40-3.52
19 Er 0.0908 0.9092 0.2500  8 Ho 3.40-3.80, 2 Tb 3.51
20 Er 0.9092 0.0908 0.7500  8 Ho 3.40-3.80, 2 Tb 3.51

=====

[3]
HfTaHgB2 after structural relaxation. Source: the Alexandria database, functional PBE.

abc: 4.2425 4.2425 5.1599
angles: 90.00 90.00 90.00
Closest atoms and distances in Å follow each position.
Fractional coordinates of all 5 atoms:
1 Hf 0.0000 0.0000 0.0000  4 Hg 3.00, 8 B 3.34
2 Ta 0.5000 0.5000 0.5000  4 B 2.12
3 Hg 0.5000 0.5000 0.0000  2 Ta 2.58
4 B 0.0000 0.5000 0.5000  2 Ta 2.12
5 B 0.5000 0.0000 0.5000  2 Ta 2.12

=====

[4]
LaZrCu after structural relaxation. Source: the Alexandria database, functional PBE.

Polymorph energy (0 for the lowest one) ... 117 meV per atom

abc: 4.8850 4.8850 6.8904
angles: 90.00 90.00 120.00
Closest atoms and distances in Å follow each position.
Fractional coordinates of all 6 atoms:
1 La 0.0000 0.0000 0.0000  4 Cu 2.82-3.15
2 La 0.3333 0.6667 0.7229  5 Zr 3.27-3.62, 6 Cu 3.36-3.49, 3 La 3.41
3 Zr 0.3333 0.6667 0.2477  3 Zr 3.08, 6 Cu 3.17-3.22, 4 La 3.27-3.30
4 Zr 0.6667 0.3333 0.4260  4 Cu 2.78-2.83, 3 Zr 3.08
5 Cu 0.0000 0.0000 0.4574  3 Zr 2.83, 1 La 3.15
6 Cu 0.6667 0.3333 0.0221  1 Zr 2.78, 3 La 2.82

=====

no.,energy (eV per atom),mass density (g/cm3)
1,-3.391,9.8
2,-4.486,8.4
3,-5.947,10.4
4,-5.790,6.8